(1)
# ScCdB

ScCdB after structural relaxation (PBE-GGA, the Alexandria database).

Summary:
Total moment   0.00 μB per formula unit
SG   P-1, No. 2
Final energy   -5.086 eV per atom
Calculated formation energy   -445 meV/atom
Polymorph energy (0 for the lowest one)   45 meV/atom

a = 3.1244 Å, b = 3.3741 Å, c = 9.9467 Å
α = 99.76°, β = 71.67°, γ = 90.02°
Closest atoms and distances in Å follow each position.
Atoms (fractional coordinates):
Sc: 0.3987 0.2021 0.1359  6 B 2.43-2.55
Sc: 0.5913 0.3552 0.4432  6 B 2.43-2.55
B: 0.7803 0.7610 0.2543  2 B 1.69
B: 0.2097 0.7963 0.3247  2 B 1.69
Cd: 0.8550 0.9737 0.6796  8 Cd 3.07-3.37, 4 Sc 3.18, 1 B 3.30
Cd: 0.1353 0.5836 0.8993  8 Cd 3.07-3.37, 4 Sc 3.18, 1 B 3.30



(2)
# SrIN2O

SrIN2O after structural relaxation (PBE-GGA, the Alexandria database).

Summary:
Total moment   3.05 μB per formula unit
SG   P4/mmm, No. 123
Energy relative to the elements, uncorrected   1.243 eV per atom
Final energy   -3.725 eV per atom

a = 4.5899 Å, b = 4.5899 Å, c = 4.2357 Å
α = 90.00°, β = 90.00°, γ = 90.00°
Closest atoms and distances in Å follow each position.
Atoms (fractional coordinates):
I: 0.0000 0.0000 0.5000  2 O 2.12
Sr: 0.5000 0.5000 0.5000  8 N 3.12, 4 I 3.25
O: 0.0000 0.0000 0.0000  2 I 2.12, 4 N 2.29
N: 0.0000 0.5000 0.0000  2 O 2.29
N: 0.5000 0.0000 0.0000  2 O 2.29



(3)
# LaTa2CdMo

LaTa2CdMo after structural relaxation (PBE-GGA, the Alexandria database).

Summary:
Total moment   0.00 μB per formula unit
SG   P4/mmm, No. 123
Final energy   -6.225 eV per atom
Calculated formation energy   1851 meV/atom

a = 5.0791 Å, b = 5.0505 Å, c = 5.0791 Å
α = 90.00°, β = 90.00°, γ = 90.00°
Closest atoms and distances in Å follow each position.
Atoms (fractional coordinates):
Cd: 0.0000 0.0000 0.0000  2 Mo 2.53, 4 Ta 2.54
Mo: 0.0000 0.5000 0.0000  2 Cd 2.53
La: 0.5000 0.5000 0.5000  8 Ta 3.58, 4 Mo 3.59
Ta: 0.0000 0.0000 0.5000  2 Cd 2.54
Ta: 0.5000 0.0000 0.0000  2 Cd 2.54



(4)
# Fe2SbPt

Fe2SbPt after structural relaxation (PBE-GGA, the Alexandria database).

Summary:
Total moment   5.38 μB per formula unit
SG   R3m, No. 160
Energy relative to the elements, uncorrected   0.230 eV per atom
Final energy   -6.542 eV per atom

a = 8.3488 Å, b = 8.3488 Å, c = 8.3488 Å
α = 20.84°, β = 20.84°, γ = 20.84°
Closest atoms and distances in Å follow each position.
Atoms (fractional coordinates):
Fe: 0.9936 0.9936 0.9936  3 Fe 2.48, 3 Sb 2.70
Fe: 0.2551 0.2551 0.2551  3 Fe 2.48, 3 Pt 2.65
Pt: 0.5071 0.5071 0.5071  3 Fe 2.65, 3 Sb 2.93
Sb: 0.7442 0.7442 0.7442  3 Fe 2.70, 3 Pt 2.93



(5)
# K3HfI2F6

K3HfI2F6 after structural relaxation (PBE-GGA, the Alexandria database).

Summary:
Total moment   0.00 μB per formula unit
SG   C2/m, No. 12
Energy relative to the elements, uncorrected   -2.761 eV per atom
Final energy   -5.059 eV per atom

a = 6.4232 Å, b = 6.8032 Å, c = 8.4862 Å
α = 113.63°, β = 90.32°, γ = 90.00°
Closest atoms and distances in Å follow each position.
Atoms (fractional coordinates):
K: 0.0000 0.5000 0.0000  4 F 2.68
K: 0.5000 0.5000 0.5000  2 F 2.51
K: 0.5000 0.0000 0.5000  2 F 2.51
Hf: 0.5000 0.0000 0.0000  6 F 2.00-2.04
I: 0.0013 0.7423 0.4847  2 I 3.41, 5 K 3.63-3.77, 2 F 3.72-3.81
I: 0.9987 0.2577 0.5153  2 I 3.41, 5 K 3.63-3.77, 2 F 3.72-3.81
F: 0.7155 0.2173 0.0091  1 Hf 2.00
F: 0.2845 0.7827 0.9909  1 Hf 2.00
F: 0.5119 0.8688 0.7376  1 Hf 2.04
F: 0.4881 0.1312 0.2624  1 Hf 2.04
F: 0.2845 0.2082 0.9909  1 Hf 2.00
F: 0.7155 0.7918 0.0091  1 Hf 2.00



(6)
# CaTaIn2Cu

CaTaIn2Cu after structural relaxation (PBE-GGA, the Alexandria database).

Summary:
Total moment   0.00 μB per formula unit
SG   P4/mmm, No. 123
Final energy   -4.185 eV per atom
Calculated formation energy   501 meV/atom

a = 5.4111 Å, b = 4.8170 Å, c = 5.4111 Å
α = 90.00°, β = 90.00°, γ = 90.00°
Closest atoms and distances in Å follow each position.
Atoms (fractional coordinates):
Ca: 0.5000 0.5000 0.5000  8 In 3.62, 4 Cu 3.83
In: 0.0000 0.0000 0.5000  2 Ta 2.71
In: 0.5000 0.0000 0.0000  2 Ta 2.71
Cu: 0.0000 0.5000 0.0000  2 Ta 2.41
Ta: 0.0000 0.0000 0.0000  2 Cu 2.41



(7)
# Er3CoCu2

Er3CoCu2 after structural relaxation (PBE-GGA, the Alexandria database).

Summary:
Total moment   0.00 μB per formula unit
SG   Pnma, No. 62
Final energy   -5.069 eV per atom
Calculated formation energy   -238 meV/atom
Polymorph energy (0 for the lowest one)   15 meV/atom

a = 3.9972 Å, b = 11.2075 Å, c = 11.1627 Å
α = 90.00°, β = 90.00°, γ = 90.00°
Closest atoms and distances in Å follow each position.
Atoms (fractional coordinates):
Er: 0.2500 0.3746 0.0486  1 Co 2.83, 5 Cu 2.90-3.02
Er: 0.7500 0.6254 0.9514  1 Co 2.83, 5 Cu 2.90-3.02
Er: 0.7500 0.8746 0.4514  1 Co 2.83, 5 Cu 2.90-3.02
Er: 0.2500 0.1254 0.5486  1 Co 2.83, 5 Cu 2.90-3.02
Er: 0.2500 0.7081 0.2288  2 Co 2.74, 4 Cu 2.90-3.03
Er: 0.7500 0.2919 0.7712  2 Co 2.74, 4 Cu 2.90-3.03
Er: 0.7500 0.2081 0.2712  2 Co 2.74, 4 Cu 2.90-3.03
Er: 0.2500 0.7919 0.7288  2 Co 2.74, 4 Cu 2.90-3.03
Er: 0.2500 0.4494 0.3803  3 Co 2.84-2.86, 5 Cu 2.92-2.97
Er: 0.7500 0.5506 0.6197  3 Co 2.84-2.86, 5 Cu 2.92-2.97
Er: 0.7500 0.9494 0.1197  3 Co 2.84-2.86, 5 Cu 2.92-2.97
Er: 0.2500 0.0506 0.8803  3 Co 2.84-2.86, 5 Cu 2.92-2.97
Co: 0.2500 0.1324 0.1208  3 Cu 2.44-2.49
Co: 0.7500 0.8676 0.8792  3 Cu 2.44-2.49
Co: 0.7500 0.6324 0.3792  3 Cu 2.44-2.49
Co: 0.2500 0.3676 0.6208  3 Cu 2.44-2.49
Cu: 0.2500 0.6907 0.4900  2 Co 2.44
Cu: 0.7500 0.3093 0.5100  2 Co 2.44
Cu: 0.7500 0.1907 0.0100  2 Co 2.44
Cu: 0.2500 0.8093 0.9900  2 Co 2.44
Cu: 0.2500 0.0072 0.3053  1 Co 2.49
Cu: 0.7500 0.9928 0.6947  1 Co 2.49
Cu: 0.7500 0.5072 0.1947  1 Co 2.49
Cu: 0.2500 0.4928 0.8053  1 Co 2.49



(8)
# CaInRh2

CaInRh2 after structural relaxation (PBE-GGA, the Alexandria database).

Summary:
Total moment   0.00 μB per formula unit
SG   I-42d, No. 122
Final energy   -4.812 eV per atom
Calculated formation energy   49 meV/atom

a = 4.5590 Å, b = 4.5590 Å, c = 9.7149 Å
α = 76.43°, β = 76.43°, γ = 90.00°
Closest atoms and distances in Å follow each position.
Atoms (fractional coordinates):
Ca: 0.5000 0.5000 0.0000  4 Rh 3.08, 4 In 3.22
Ca: 0.2500 0.7500 0.5000  4 Rh 3.08, 4 In 3.22
Rh: 0.7518 0.1250 0.2500  2 Rh 2.54, 2 In 2.62
Rh: 0.9982 0.6250 0.2500  2 Rh 2.54, 2 In 2.62
Rh: 0.3750 0.2482 0.7500  2 Rh 2.54, 2 In 2.62
Rh: 0.8750 0.0018 0.7500  2 Rh 2.54, 2 In 2.62
In: 0.0000 0.0000 0.0000  4 Rh 2.62
In: 0.7500 0.2500 0.5000  4 Rh 2.62



(9)
# Be2InCuPd

Be2InCuPd after structural relaxation (PBE-GGA, the Alexandria database).

Summary:
Total moment   0.00 μB per formula unit
SG   P4/mmm, No. 123
Final energy   -3.365 eV per atom
Calculated formation energy   531 meV/atom

a = 4.2600 Å, b = 5.0499 Å, c = 4.2600 Å
α = 90.00°, β = 90.00°, γ = 90.00°
Closest atoms and distances in Å follow each position.
Atoms (fractional coordinates):
Be: 0.0000 0.0000 0.5000  2 Pd 2.13
Be: 0.5000 0.0000 0.0000  2 Pd 2.13
Cu: 0.5000 0.5000 0.5000  4 In 3.01, 8 Be 3.30
Pd: 0.0000 0.0000 0.0000  4 Be 2.13
In: 0.0000 0.5000 0.0000  2 Pd 2.52



(10)
# NbNiSe2

NbNiSe2 after structural relaxation (PBE-GGA, the Alexandria database).

Summary:
Total moment   0.36 μB per formula unit
SG   R-3m, No. 166
Energy relative to the elements, uncorrected   -0.316 eV per atom
Final energy   -6.021 eV per atom
Polymorph energy (0 for the lowest one)   336 meV/atom

a = 8.2429 Å, b = 8.2429 Å, c = 8.2429 Å
α = 23.64°, β = 23.64°, γ = 23.64°
Closest atoms and distances in Å follow each position.
Atoms (fractional coordinates):
Ni: 0.0000 0.0000 0.0000  2 Se 2.26
Nb: 0.5000 0.5000 0.5000  6 Se 2.61
Se: 0.9058 0.9058 0.9058  1 Ni 2.26
Se: 0.0942 0.0942 0.0942  1 Ni 2.26



(11)
# FeNiTe3

FeNiTe3 after structural relaxation (PBE-GGA, the Alexandria database).

Summary:
Total moment   2.13 μB per formula unit
SG   P-6c2, No. 188
Energy relative to the elements, uncorrected   -0.106 eV per atom
Final energy   -4.840 eV per atom
Polymorph energy (0 for the lowest one)   0 meV/atom

a = 5.3065 Å, b = 6.8284 Å, c = 6.8284 Å
α = 120.00°, β = 90.00°, γ = 90.00°
Closest atoms and distances in Å follow each position.
Atoms (fractional coordinates):
Fe: 0.5000 0.6667 0.3333  2 Fe 2.65, 6 Te 2.67
Fe: 0.0000 0.6667 0.3333  2 Fe 2.65, 6 Te 2.67
Ni: 0.0000 0.0000 0.0000  2 Ni 2.65, 6 Te 2.66
Ni: 0.5000 0.0000 0.0000  2 Ni 2.65, 6 Te 2.66
Te: 0.7500 0.3318 0.3425  2 Ni 2.66, 2 Fe 2.67
Te: 0.7500 0.0107 0.6682  2 Ni 2.66, 2 Fe 2.67
Te: 0.7500 0.6575 0.9893  2 Ni 2.66, 2 Fe 2.67
Te: 0.2500 0.6575 0.6682  2 Ni 2.66, 2 Fe 2.67
Te: 0.2500 0.3318 0.9893  2 Ni 2.66, 2 Fe 2.67
Te: 0.2500 0.0107 0.3425  2 Ni 2.66, 2 Fe 2.67



(12)
# InCoSeN2

InCoSeN2 after structural relaxation (PBE-GGA, the Alexandria database).

Summary:
Total moment   3.06 μB per formula unit
SG   P4/mmm, No. 123
Energy relative to the elements, uncorrected   0.897 eV per atom
Final energy   -5.099 eV per atom
Polymorph energy (0 for the lowest one)   0 meV/atom

a = 3.7767 Å, b = 3.7767 Å, c = 5.0772 Å
α = 90.00°, β = 90.00°, γ = 90.00°
Closest atoms and distances in Å follow each position.
Atoms (fractional coordinates):
N: 0.0000 0.5000 0.0000  2 Co 1.89
N: 0.5000 0.0000 0.0000  2 Co 1.89
Co: 0.0000 0.0000 0.0000  4 N 1.89
Se: 0.0000 0.0000 0.5000  2 Co 2.54, 4 In 2.67
In: 0.5000 0.5000 0.5000  4 Se 2.67



(13)
# GdGa2Co

GdGa2Co after structural relaxation (PBE-GGA, the Alexandria database).

Summary:
Total moment   0.00 μB per formula unit
SG   Amm2, No. 38
Final energy   -7.352 eV per atom
Calculated formation energy   -542 meV/atom

a = 3.9997 Å, b = 4.1067 Å, c = 9.1773 Å
α = 102.91°, β = 90.00°, γ = 90.00°
Closest atoms and distances in Å follow each position.
Atoms (fractional coordinates):
Gd: 0.0021 0.1426 0.2828  4 Co 3.10-3.11, 10 Ga 3.11-3.35
Gd: 0.0020 0.8592 0.7170  4 Co 3.10-3.11, 10 Ga 3.11-3.35
Ga: 0.5019 0.2923 0.5829  1 Co 2.39, 2 Ga 2.53
Ga: 0.5019 0.7093 0.4169  1 Co 2.39, 2 Ga 2.53
Ga: 0.0019 0.5018 0.9999  4 Co 2.40
Ga: 0.5019 0.0021 0.9999  4 Co 2.45
Co: 0.5019 0.4279 0.8506  5 Ga 2.39-2.45, 1 Co 2.67
Co: 0.5019 0.5763 0.1492  5 Ga 2.39-2.45, 1 Co 2.67